Record 1
The following is a DFT calculation (PBE) of DyErIn2 after structural relaxation.

As for the space group: No. 166. The calculation puts the calculated formation energy at -31 kJ/mol of atoms. As for the spin magnetization: 0.00 μB per formula unit.

```
DyErIn2
1.0
3.6686 0.0000 0.0000
-1.8343 3.1771 0.0000
0.0000 0.0000 29.0820
Dy Er In
3 3 6
direct
0.0000 0.0000 0.0000
0.3333 0.6667 0.6667
0.6667 0.3333 0.3333
0.0000 0.0000 0.5000
0.3333 0.6667 0.1667
0.6667 0.3333 0.8333
0.0000 0.0000 0.2495
0.0000 0.0000 0.7505
0.3333 0.6667 0.4172
0.3333 0.6667 0.9162
0.6667 0.3333 0.0838
0.6667 0.3333 0.5828
```



Record 2
The following is a DFT calculation (PBE) of DyErIn4 after structural relaxation.

As for the space group: No. 216. As for the offset from the most stable computed form: 0.076 eV per atom. The calculation puts the calculated formation energy at -29 kJ/mol of atoms. As for the spin magnetization: 0.00 μB per formula unit.

```
DyErIn4
1.0
0.0000 4.2291 4.2291
4.2291 0.0000 4.2291
4.2291 4.2291 0.0000
Dy Er In
1 1 4
direct
0.0000 0.0000 0.0000
0.2500 0.2500 0.2500
0.1250 0.6250 0.6250
0.6250 0.1250 0.6250
0.6250 0.6250 0.1250
0.6250 0.6250 0.6250
```



Record 3
The following is a DFT calculation (PBE) of DyEr3In2 after structural relaxation.

As for the space group: No. 71. As for the offset from the most stable computed form: 0.399 eV per atom. The calculation puts the calculated formation energy at 12 kJ/mol of atoms. As for the spin magnetization: 0.01 μB per formula unit.

```
DyEr3In2
1.0
3.3717 0.0000 0.0000
0.0000 5.6119 0.0000
0.0000 0.0000 18.6115
Dy Er In
2 6 4
direct
0.0000 0.0000 0.0000
0.5000 0.5000 0.5000
0.0000 0.0000 0.1886
0.0000 0.0000 0.8114
0.0000 0.5000 0.0000
0.5000 0.0000 0.5000
0.5000 0.5000 0.3114
0.5000 0.5000 0.6886
0.0000 0.0000 0.3553
0.0000 0.0000 0.6447
0.5000 0.5000 0.1447
0.5000 0.5000 0.8553
```